The following is a DFT calculation (PBE-GGA) of an optimized crystal structure of Cr2GaTeS.

Values from the calculation:
- Volume: 147.1 Å³ per cell
- Symmetry: P4/mmm (123)
- Density of states at the Fermi level: 3.3 states/eV/cell
- Total magnetic moment: 9.23 μB per cell
- Energy: -0.184 hartree per atom

```
Cr2GaTeS
1.0
5.161 0.000 0.000
0.000 5.161 0.000
0.000 0.000 5.523
Cr Ga Te S
2 1 1 1
direct
0.000 0.500 0.000
0.500 0.000 0.000
0.000 0.000 0.500
0.000 0.000 0.000
0.500 0.500 0.500
```

---

The following is a DFT calculation (PBE-GGA) of an optimized crystal structure of CaTlSi2.

Values from the calculation:
- ΔE to the lowest computed polymorph: 483 meV/atom
- Volume: 292.2 Å³ per cell
- Symmetry: R-3m (166)
- Density of states at the Fermi level: 8.5 states/eV/cell
- Total magnetic moment: 0.00 μB per cell

```
CaTlSi2
1.0
3.578 0.000 0.000
-1.789 3.099 0.000
0.000 0.000 26.350
Ca Tl Si
3 3 6
direct
0.000 0.000 0.000
0.333 0.667 0.667
0.667 0.333 0.333
0.000 0.000 0.500
0.333 0.667 0.167
0.667 0.333 0.833
0.000 0.000 0.246
0.000 0.000 0.754
0.333 0.667 0.420
0.333 0.667 0.913
0.667 0.333 0.087
0.667 0.333 0.580
```

---

The following is a DFT calculation (PBE-GGA) of an optimized crystal structure of Ta3HPd.

Values from the calculation:
- ΔE to the lowest computed polymorph: 0 meV/atom
- Volume: 71.9 Å³ per cell
- Symmetry: Pm-3m (221)
- Density of states at the Fermi level: 7.1 states/eV/cell
- Total magnetic moment: 0.00 μB per cell

```
Ta3HPd
1.0
4.158 0.000 0.000
0.000 4.158 0.000
0.000 0.000 4.158
Ta H Pd
3 1 1
direct
0.000 0.000 0.500
0.000 0.500 0.000
0.500 0.000 0.000
0.000 0.000 0.000
0.500 0.500 0.500
```

---

- Look up the density of states at the Fermi level of the second one.
  8.5 states/eV/cell